Entry 1:
DFT (PBE-GGA) results for a relaxed structure of TbHoSbP.

Computed properties:
The value obtained for the total energy is -5.930 eV/atom. The uncorrected formation energy comes out at -1.245 eV/atom. The mass density is 7.5 g/cm³. As for the density of states at the Fermi level: 4.4 states/eV/cell. For the total moment, the calculation gives 0.00 μB/cell.

a b c (Å): 4.1170 4.1170 21.5480
angles (deg): 90.00 90.00 120.00
Closest atoms and distances in Å follow each position.
Space group R3m (No. 160, hexagonal axes)
Symmetry-distinct sites (fractional):
Tb  0.0000  0.0000  0.0000 x3  3 P 2.89, 3 Sb 3.13
Ho  0.0000  0.0000  0.8132 x3  3 P 2.82, 3 Sb 3.10
Sb  0.0000  0.0000  0.2386 x3  3 Ho 3.10, 3 Tb 3.13
P  0.0000  0.0000  0.4093 x3  3 Ho 2.82, 3 Tb 2.89



Entry 2:
DFT (PBE-GGA) results for a relaxed structure of Nd2Ho3PuAs6.

Computed properties:
The value obtained for the total energy is -6.882 eV/atom. The mass density is 8.0 g/cm³. As for the energy relative to the elements: -1.424 eV/atom. As for the density of states at the Fermi level: 30.4 states/eV/cell. For the total moment, the calculation gives 9.73 μB/cell.

a b c (Å): 18.1280 4.1694 8.3245
angles (deg): 90.00 103.19 90.00
Closest atoms and distances in Å follow each position.
Space group C2/m (No. 12)
Symmetry-distinct sites (fractional):
Nd  0.1666  0.0000  0.3341 x4  6 As 2.99
Ho  0.0000  0.5000  0.5000 x2  6 As 2.90-2.95
Ho  0.1677  0.0000  0.8336 x4  6 As 2.90-2.93
Pu  0.0000  0.5000  0.0000 x2  6 As 2.94
As  0.0027  0.0000  0.7525 x4  3 Ho 2.91-2.95, 2 Pu 2.94, 1 Nd 2.99
As  0.1643  0.5000  0.5898 x4  3 Ho 2.90, 3 Nd 2.99
As  0.1663  0.5000  0.0759 x4  3 Ho 2.91-2.93, 1 Pu 2.94, 2 Nd 2.99



Entry 3:
DFT (PBE-GGA) results for a relaxed structure of Tb2ScRh.

Computed properties:
The value obtained for the total energy is -6.092 eV/atom. The mass density is 7.8 g/cm³. As for the energy relative to the elements: -0.356 eV/atom. As for the density of states at the Fermi level: 4.7 states/eV/cell. For the total moment, the calculation gives 1.17 μB/cell.

a b c (Å): 3.5168 3.5168 8.0372
angles (deg): 90.00 90.00 90.00
Closest atoms and distances in Å follow each position.
Space group P4/mmm (No. 123)
Symmetry-distinct sites (fractional):
Tb  0.0000  0.0000  0.2026 x2  4 Rh 2.97, 1 Tb 3.26
Sc  0.5000  0.5000  0.5000 x1  8 Tb 3.45, 4 Sc 3.52
Rh  0.5000  0.5000  0.0000 x1  8 Tb 2.97